Record 1
The following is a DFT calculation (PBE-GGA) of a relaxed structure of PaZn5Au7.

Summary:
- DOS(E_F): 17.49 states/eV/cell
- DFT formation energy: -3.1 eV per formula unit

a = 5.2840 Å, b = 9.5197 Å, c = 9.1646 Å
α = 90.00°, β = 90.00°, γ = 90.00°
Space group Imm2 (No. 44)
One atom of each set of equivalent atoms:
Pa 0.0000 0.0000 0.0000 [2 per cell]
Zn 0.0000 0.5000 0.7505 [2 per cell]
Zn 0.2481 0.2503 0.2622 [8 per cell]
Au 0.0000 0.0000 0.3290 [2 per cell]
Au 0.0000 0.0000 0.6599 [2 per cell]
Au 0.0000 0.3166 0.5198 [4 per cell]
Au 0.0000 0.3337 0.0047 [4 per cell]
Au 0.0000 0.5000 0.2761 [2 per cell]

=====

Record 2
The following is a DFT calculation (PBE-GGA) of a relaxed structure of PaZn5Au4.

Summary:
- DOS(E_F): 5.30 states/eV/cell
- DFT formation energy: -1.8 eV per formula unit

a = 3.2239 Å, b = 3.2239 Å, c = 16.5380 Å
α = 90.00°, β = 90.00°, γ = 90.00°
Space group P4/mmm (No. 123)
One atom of each set of equivalent atoms:
Pa 0.0000 0.0000 0.0000 [1 per cell]
Zn 0.5000 0.5000 0.1260 [2 per cell]
Zn 0.5000 0.5000 0.3112 [2 per cell]
Zn 0.5000 0.5000 0.5000 [1 per cell]
Au 0.0000 0.0000 0.2144 [2 per cell]
Au 0.0000 0.0000 0.4042 [2 per cell]

=====

Record 3
The following is a DFT calculation (PBE-GGA) of a relaxed structure of Pa2Zn3Au4.

Summary:
- DOS(E_F): 48.98 states/eV/cell
- DFT formation energy: -2.2 eV per formula unit

a = 5.8741 Å, b = 15.5030 Å, c = 7.8187 Å
α = 90.00°, β = 90.00°, γ = 90.00°
Space group Cmce (No. 64)
One atom of each set of equivalent atoms:
Pa 0.0000 0.1135 0.0873 [8 per cell]
Zn 0.0000 0.0000 0.5000 [4 per cell]
Zn 0.2500 0.2217 0.7500 [8 per cell]
Au 0.0000 0.1812 0.4657 [8 per cell]
Au 0.2500 0.0493 0.7500 [8 per cell]

=====

Record 4
The following is a DFT calculation (PBE-GGA) of a relaxed structure of PaZn3Au.

Summary:
- DOS(E_F): 18.86 states/eV/cell
- DFT formation energy: -0.7 eV per formula unit

a = 13.3697 Å, b = 4.2832 Å, c = 6.6664 Å
α = 90.00°, β = 102.07°, γ = 90.00°
Space group C2/m (No. 12)
One atom of each set of equivalent atoms:
Pa 0.1298 0.0000 0.4913 [4 per cell]
Zn 0.0904 0.0000 0.9578 [4 per cell]
Zn 0.1651 0.5000 0.1881 [4 per cell]
Zn 0.2256 0.5000 0.8205 [4 per cell]
Au 0.0218 0.5000 0.7309 [4 per cell]